An optimized crystal structure of Rb3PuMn2F9, computed with GGA+U.

Geometry as POSCAR:
```
Rb3PuMn2F9
1.0
-0.221 4.247 -4.618
2.230 -5.758 -1.135
-7.329 -2.461 -1.913
Rb Pu Mn F
3 1 2 9
direct
0.333 0.667 0.698
0.000 0.000 0.000
0.667 0.333 0.302
0.000 0.000 0.500
0.333 0.667 0.155
0.667 0.333 0.845
0.828 0.172 0.688
0.828 0.655 0.688
0.345 0.172 0.688
0.655 0.828 0.312
0.172 0.345 0.312
0.172 0.828 0.312
0.500 0.000 0.000
0.000 0.500 0.000
0.500 0.500 0.000
```

Calculated values
density = 4.77 Mg/m³
symmetry = P-3m1, No. 164
energy = -6.0631 eV/atom